1.
## DyBe2SiPt (PBE)

Data for a geometry-optimized DyBe2SiPt structure.

Properties
V: 15.005 Å³/atom
E_form (uncorrected): -63.7 kJ/mol of atoms

```
data_DyBe2SiPt
_cell_length_a 3.8604
_cell_length_b 3.9432
_cell_length_c 9.8572
_cell_angle_alpha 90.00
_cell_angle_beta 90.00
_cell_angle_gamma 90.00
_space_group_name_H-M_alt 'I m m 2'
_space_group_IT_number 44
_space_group_name_Hall 'I 2 -2'
loop_
_atom_site_label
_atom_site_type_symbol
_atom_site_fract_x
_atom_site_fract_y
_atom_site_fract_z
_atom_site_occupancy
Dy1 Dy 0.0000 0.0000 0.0000 1
Be1 Be 0.0000 0.0000 0.3827 1
Be2 Be 0.0000 0.5000 0.2519 1
Si1 Si 0.0000 0.0000 0.6145 1
Pt1 Pt 0.0000 0.5000 0.7579 1
```

=====

2.
## PmSm2Dy4Sc (PBE)

Data for a geometry-optimized PmSm2Dy4Sc structure.

Properties
V: 32.444 Å³/atom
E_form: 3.37 eV/f.u.

```
data_PmSm2Dy4Sc
_cell_length_a 13.5152
_cell_length_b 13.1177
_cell_length_c 6.7605
_cell_angle_alpha 90.00
_cell_angle_beta 119.98
_cell_angle_gamma 90.00
_space_group_name_H-M_alt 'C 1 2/c 1'
_space_group_IT_number 15
_space_group_name_Hall '-C 2yc'
loop_
_atom_site_label
_atom_site_type_symbol
_atom_site_fract_x
_atom_site_fract_y
_atom_site_fract_z
_atom_site_occupancy
Pm1 Pm 0.2500 0.2500 0.0000 1
Sm1 Sm 0.0000 0.0000 0.0000 1
Sm2 Sm 0.2500 0.2500 0.5000 1
Dy1 Dy 0.9999 0.2632 0.9999 1
Dy2 Dy 0.2355 0.5000 0.4838 1
Sc1 Sc 0.0000 0.5000 0.0000 1
```

=====

3.
## DyZnTe (PBE)

Data for a geometry-optimized DyZnTe structure.

Properties
V: 30.721 Å³/atom
E_form (uncorrected): -79.4 kJ/mol of atoms

```
data_DyZnTe
_cell_length_a 7.9421
_cell_length_b 4.5831
_cell_length_c 10.1290
_cell_angle_alpha 90.00
_cell_angle_beta 90.80
_cell_angle_gamma 90.00
_space_group_name_H-M_alt 'C 1 2/m 1'
_space_group_IT_number 12
_space_group_name_Hall '-C 2y'
loop_
_atom_site_label
_atom_site_type_symbol
_atom_site_fract_x
_atom_site_fract_y
_atom_site_fract_z
_atom_site_occupancy
Dy1 Dy 0.0027 0.0000 0.1740 1
Zn1 Zn 0.1669 0.5000 0.0130 1
Te1 Te 0.1722 0.5000 0.3146 1
```

=====

4.
## SnRhO4 (PBE)

Data for a geometry-optimized SnRhO4 structure.

Properties
E above lowest polymorph: 0.0 meV per atom
V: 11.750 Å³/atom
E_form (uncorrected): -110.3 kJ/mol of atoms

```
data_SnRhO4
_cell_length_a 5.6989
_cell_length_b 4.7006
_cell_length_c 5.6326
_cell_angle_alpha 90.00
_cell_angle_beta 110.85
_cell_angle_gamma 90.00
_space_group_name_H-M_alt 'P 1 21/c 1'
_space_group_IT_number 14
_space_group_name_Hall '-P 2ybc'
loop_
_atom_site_label
_atom_site_type_symbol
_atom_site_fract_x
_atom_site_fract_y
_atom_site_fract_z
_atom_site_occupancy
Sn1 Sn 0.0000 0.0000 0.0000 1
Rh1 Rh 0.5000 0.0000 0.5000 1
O1 O 0.1529 0.1748 0.3560 1
O2 O 0.3599 0.6986 0.6610 1
```

=====

5.
## Sc2GaC (PBE)

Data for a geometry-optimized Sc2GaC structure.

Properties
E above lowest polymorph: 241.1 meV per atom
V: 19.507 Å³/atom
E_form: -1.17 eV/f.u.

```
data_Sc2GaC
_cell_length_a 3.3085
_cell_length_b 3.3085
_cell_length_c 24.6932
_cell_angle_alpha 90.00
_cell_angle_beta 90.00
_cell_angle_gamma 120.00
_space_group_name_H-M_alt 'R -3 m'
_space_group_IT_number 166
_space_group_name_Hall '-R 3 2"'
loop_
_atom_site_label
_atom_site_type_symbol
_atom_site_fract_x
_atom_site_fract_y
_atom_site_fract_z
_atom_site_occupancy
Sc1 Sc 0.0000 0.0000 0.1180 1
Ga1 Ga 0.0000 0.0000 0.0000 1
C1 C 0.0000 0.0000 0.5000 1
```

=====

6.
## BaZr2Se (PBE)

Data for a geometry-optimized BaZr2Se structure.

Properties
V: 25.982 Å³/atom
E_form (uncorrected): 4.6 kJ/mol of atoms

```
data_BaZr2Se
_cell_length_a 3.4978
_cell_length_b 5.3397
_cell_length_c 5.5645
_cell_angle_alpha 90.00
_cell_angle_beta 90.00
_cell_angle_gamma 90.00
_space_group_name_H-M_alt 'P m m m'
_space_group_IT_number 47
_space_group_name_Hall '-P 2 2'
loop_
_atom_site_label
_atom_site_type_symbol
_atom_site_fract_x
_atom_site_fract_y
_atom_site_fract_z
_atom_site_occupancy
Ba1 Ba 0.0000 0.0000 0.0000 1
Zr1 Zr 0.0000 0.5000 0.5000 1
Zr2 Zr 0.5000 0.5000 0.0000 1
Se1 Se 0.5000 0.0000 0.5000 1
```

=====

7.
## Y2RhCl2 (PBE)

Data for a geometry-optimized Y2RhCl2 structure.

Properties
E above lowest polymorph: 638.1 meV per atom
V: 20.304 Å³/atom
E_form (uncorrected): -82.7 kJ/mol of atoms

```
data_Y2RhCl2
_cell_length_a 7.8585
_cell_length_b 7.8585
_cell_length_c 3.2878
_cell_angle_alpha 90.00
_cell_angle_beta 90.00
_cell_angle_gamma 90.00
_space_group_name_H-M_alt 'P 4/m b m'
_space_group_IT_number 127
_space_group_name_Hall '-P 4 2ab'
loop_
_atom_site_label
_atom_site_type_symbol
_atom_site_fract_x
_atom_site_fract_y
_atom_site_fract_z
_atom_site_occupancy
Y1 Y 0.1816 0.3184 0.0000 1
Rh1 Rh 0.0000 0.0000 0.5000 1
Cl1 Cl 0.1242 0.6242 0.5000 1
```

=====

8.
## Pm3Ag2Au4 (PBE)

Data for a geometry-optimized Pm3Ag2Au4 structure.

Properties
E above lowest polymorph: 0.0 meV per atom
V: 23.225 Å³/atom
E_form: -5.51 eV/f.u.

```
data_Pm3Ag2Au4
_cell_length_a 10.8276
_cell_length_b 4.7879
_cell_length_c 8.9752
_cell_angle_alpha 90.00
_cell_angle_beta 116.04
_cell_angle_gamma 90.00
_space_group_name_H-M_alt 'C 1 2/m 1'
_space_group_IT_number 12
_space_group_name_Hall '-C 2y'
loop_
_atom_site_label
_atom_site_type_symbol
_atom_site_fract_x
_atom_site_fract_y
_atom_site_fract_z
_atom_site_occupancy
Pm1 Pm 0.0000 0.0000 0.0000 1
Pm2 Pm 0.1572 0.5000 0.6790 1
Ag1 Ag 0.1310 0.5000 0.2981 1
Au1 Au 0.0676 0.0000 0.3973 1
Au2 Au 0.2206 0.5000 0.0570 1
```

=====

no.,calculated total energy (eV/atom)
1,-5.364
2,-4.445
3,-3.828
4,-6.341
5,-6.520
6,-5.579
7,-5.652
8,-4.286